(1)
Here is crystalline PrTm2Ge2Pd7 at its relaxed geometry from Alexandria. Energies are from PBE.

Calculated values
DFT total energy = -5.69 eV per atom
Calculated formation energy = -0.751 eV/atom

Geometry as CIF:
```
data_PrTm2Ge2Pd7
_chemical_formula_sum 'Pr1 Tm2 Ge2 Pd7'
_cell_length_a 4.074
_cell_length_b 4.074
_cell_length_c 13.961
_cell_angle_alpha 83.00
_cell_angle_beta 83.00
_cell_angle_gamma 89.58
_space_group_name_H-M_alt 'P 1'
_space_group_IT_number 1
loop_
_space_group_symop_operation_xyz
'x,y,z'
loop_
_atom_site_label
_atom_site_type_symbol
_atom_site_fract_x
_atom_site_fract_y
_atom_site_fract_z
Pd1 Pd 0.568 0.067 0.836
Pd2 Pd 0.432 0.933 0.164
Pd3 Pd 0.933 0.432 0.164
Pd4 Pd 0.314 0.314 0.446
Pd5 Pd 0.686 0.686 0.554
Pd6 Pd 0.067 0.568 0.836
Pd7 Pd 0.500 0.500 0.000
Tm1 Tm 0.860 0.860 0.352
Tm2 Tm 0.140 0.140 0.648
Ge1 Ge 0.390 0.390 0.267
Ge2 Ge 0.610 0.610 0.733
Pr1 Pr 0.000 0.000 0.000
```

***

(2)
Here is crystalline PrTmGePd at its relaxed geometry from Alexandria. Energies are from PBE.

Calculated values
DFT total energy = -5.51 eV per atom
Calculated formation energy = -0.742 eV/atom

Geometry as CIF:
```
data_PrTmGePd
_chemical_formula_sum 'Pr1 Tm1 Ge1 Pd1'
_cell_length_a 5.090
_cell_length_b 5.090
_cell_length_c 5.090
_cell_angle_alpha 60.00
_cell_angle_beta 60.00
_cell_angle_gamma 60.00
_space_group_name_H-M_alt 'P 1'
_space_group_IT_number 1
loop_
_space_group_symop_operation_xyz
'x,y,z'
loop_
_atom_site_label
_atom_site_type_symbol
_atom_site_fract_x
_atom_site_fract_y
_atom_site_fract_z
Pr1 Pr 0.250 0.250 0.250
Pd1 Pd 0.500 0.500 0.500
Tm1 Tm 0.750 0.750 0.750
Ge1 Ge 0.000 0.000 0.000
```

***

(3)
Here is crystalline Pr2TmGe4Pd3 at its relaxed geometry from Alexandria. Energies are from PBE.

Calculated values
DFT total energy = -5.62 eV per atom
Calculated formation energy = -0.812 eV/atom

Geometry as CIF:
```
data_Pr2TmGe4Pd3
_chemical_formula_sum 'Pr2 Tm1 Ge4 Pd3'
_cell_length_a 4.308
_cell_length_b 4.308
_cell_length_c 11.341
_cell_angle_alpha 90.00
_cell_angle_beta 90.00
_cell_angle_gamma 90.00
_space_group_name_H-M_alt 'P 1'
_space_group_IT_number 1
loop_
_space_group_symop_operation_xyz
'x,y,z'
loop_
_atom_site_label
_atom_site_type_symbol
_atom_site_fract_x
_atom_site_fract_y
_atom_site_fract_z
Ge1 Ge 0.500 0.000 0.661
Ge2 Ge 0.000 0.000 0.000
Ge3 Ge 0.000 0.500 0.339
Ge4 Ge 0.500 0.500 0.000
Tm1 Tm 0.500 0.500 0.500
Pr1 Pr 0.000 0.500 0.770
Pr2 Pr 0.500 0.000 0.230
Pd1 Pd 0.000 0.500 0.119
Pd2 Pd 0.500 0.000 0.881
Pd3 Pd 0.000 0.000 0.500
```

***

(4)
Here is crystalline PrYGePd at its relaxed geometry from Alexandria. Energies are from PBE.

Calculated values
DFT total energy = -6.01 eV per atom
Calculated formation energy = -0.748 eV/atom

Geometry as CIF:
```
data_PrYGePd
_chemical_formula_sum 'Pr1 Y1 Ge1 Pd1'
_cell_length_a 5.128
_cell_length_b 5.128
_cell_length_c 5.128
_cell_angle_alpha 60.00
_cell_angle_beta 60.00
_cell_angle_gamma 60.00
_space_group_name_H-M_alt 'P 1'
_space_group_IT_number 1
loop_
_space_group_symop_operation_xyz
'x,y,z'
loop_
_atom_site_label
_atom_site_type_symbol
_atom_site_fract_x
_atom_site_fract_y
_atom_site_fract_z
Pd1 Pd 0.500 0.500 0.500
Ge1 Ge 0.000 0.000 0.000
Y1 Y 0.250 0.250 0.250
Pr1 Pr 0.750 0.750 0.750
```

***

(5)
Here is crystalline PrYGePd at its relaxed geometry from Alexandria. Energies are from PBE.

Calculated values
DFT total energy = -6.10 eV per atom
Calculated formation energy = -0.838 eV/atom

Geometry as CIF:
```
data_PrYGePd
_chemical_formula_sum 'Pr1 Y1 Ge1 Pd1'
_cell_length_a 4.068
_cell_length_b 4.359
_cell_length_c 5.893
_cell_angle_alpha 90.00
_cell_angle_beta 110.19
_cell_angle_gamma 90.00
_space_group_name_H-M_alt 'P 1'
_space_group_IT_number 1
loop_
_space_group_symop_operation_xyz
'x,y,z'
loop_
_atom_site_label
_atom_site_type_symbol
_atom_site_fract_x
_atom_site_fract_y
_atom_site_fract_z
Pr1 Pr 0.141 0.000 0.281
Pd1 Pd 0.419 0.000 0.839
Y1 Y 0.864 0.500 0.728
Ge1 Ge 0.576 0.500 0.151
```

***

(6)
Here is crystalline PrYGe2Pd5 at its relaxed geometry from Alexandria. Energies are from PBE.

Calculated values
DFT total energy = -5.95 eV per atom
Calculated formation energy = -0.787 eV/atom

Geometry as CIF:
```
data_PrYGe2Pd5
_chemical_formula_sum 'Pr1 Y1 Ge2 Pd5'
_cell_length_a 4.289
_cell_length_b 4.289
_cell_length_c 9.153
_cell_angle_alpha 90.00
_cell_angle_beta 90.00
_cell_angle_gamma 90.00
_space_group_name_H-M_alt 'P 1'
_space_group_IT_number 1
loop_
_space_group_symop_operation_xyz
'x,y,z'
loop_
_atom_site_label
_atom_site_type_symbol
_atom_site_fract_x
_atom_site_fract_y
_atom_site_fract_z
Ge1 Ge 0.500 0.500 0.866
Ge2 Ge 0.500 0.500 0.134
Pr1 Pr 0.000 0.000 0.500
Pd1 Pd 0.500 0.500 0.500
Pd2 Pd 0.000 0.500 0.270
Pd3 Pd 0.000 0.500 0.730
Pd4 Pd 0.500 0.000 0.730
Pd5 Pd 0.500 0.000 0.270
Y1 Y 0.000 0.000 0.000
```

***

(7)
Here is crystalline PrY2Ge2Pd7 at its relaxed geometry from Alexandria. Energies are from PBE.

Calculated values
DFT total energy = -6.04 eV per atom
Calculated formation energy = -0.763 eV/atom

Geometry as CIF:
```
data_PrY2Ge2Pd7
_chemical_formula_sum 'Pr1 Y2 Ge2 Pd7'
_cell_length_a 4.104
_cell_length_b 4.104
_cell_length_c 13.977
_cell_angle_alpha 83.30
_cell_angle_beta 83.30
_cell_angle_gamma 89.39
_space_group_name_H-M_alt 'P 1'
_space_group_IT_number 1
loop_
_space_group_symop_operation_xyz
'x,y,z'
loop_
_atom_site_label
_atom_site_type_symbol
_atom_site_fract_x
_atom_site_fract_y
_atom_site_fract_z
Pd1 Pd 0.936 0.436 0.162
Pd2 Pd 0.564 0.064 0.838
Pd3 Pd 0.672 0.672 0.557
Pd4 Pd 0.328 0.328 0.443
Pd5 Pd 0.064 0.564 0.838
Pd6 Pd 0.436 0.936 0.162
Pd7 Pd 0.500 0.500 0.000
Ge1 Ge 0.604 0.604 0.736
Ge2 Ge 0.396 0.396 0.264
Y1 Y 0.868 0.868 0.352
Y2 Y 0.132 0.132 0.648
Pr1 Pr 0.000 0.000 0.000
```

***

(8)
Here is crystalline PrZn2GePd2 at its relaxed geometry from Alexandria. Energies are from PBE.

Calculated values
DFT total energy = -4.08 eV per atom
Calculated formation energy = -0.355 eV/atom

Geometry as CIF:
```
data_PrZn2GePd2
_chemical_formula_sum 'Pr1 Zn2 Ge1 Pd2'
_cell_length_a 4.689
_cell_length_b 4.689
_cell_length_c 5.699
_cell_angle_alpha 90.00
_cell_angle_beta 90.00
_cell_angle_gamma 90.00
_space_group_name_H-M_alt 'P 1'
_space_group_IT_number 1
loop_
_space_group_symop_operation_xyz
'x,y,z'
loop_
_atom_site_label
_atom_site_type_symbol
_atom_site_fract_x
_atom_site_fract_y
_atom_site_fract_z
Pr1 Pr 0.000 0.000 0.500
Pd1 Pd 0.000 0.500 0.000
Pd2 Pd 0.500 0.000 0.000
Zn1 Zn 0.500 0.500 0.737
Zn2 Zn 0.500 0.500 0.263
Ge1 Ge 0.000 0.000 0.000
```

***

(9)
Here is crystalline Pr2Zn3GePd4 at its relaxed geometry from Alexandria. Energies are from PBE.

Calculated values
DFT total energy = -4.53 eV per atom
Calculated formation energy = -0.651 eV/atom

Geometry as CIF:
```
data_Pr2Zn3GePd4
_chemical_formula_sum 'Pr2 Zn3 Ge1 Pd4'
_cell_length_a 4.500
_cell_length_b 4.500
_cell_length_c 9.675
_cell_angle_alpha 90.00
_cell_angle_beta 90.00
_cell_angle_gamma 90.00
_space_group_name_H-M_alt 'P 1'
_space_group_IT_number 1
loop_
_space_group_symop_operation_xyz
'x,y,z'
loop_
_atom_site_label
_atom_site_type_symbol
_atom_site_fract_x
_atom_site_fract_y
_atom_site_fract_z
Zn1 Zn 0.000 0.500 0.125
Zn2 Zn 0.000 0.000 0.500
Zn3 Zn 0.500 0.000 0.875
Pr1 Pr 0.000 0.500 0.755
Pr2 Pr 0.500 0.000 0.245
Pd1 Pd 0.000 0.000 0.000
Pd2 Pd 0.500 0.500 0.000
Pd3 Pd 0.500 0.000 0.618
Pd4 Pd 0.000 0.500 0.382
Ge1 Ge 0.500 0.500 0.500
```

***

(10)
Here is crystalline PrZnGe2Pd at its relaxed geometry from Alexandria. Energies are from PBE.

Calculated values
DFT total energy = -4.79 eV per atom
Calculated formation energy = -0.690 eV/atom

Geometry as CIF:
```
data_PrZnGe2Pd
_chemical_formula_sum 'Pr1 Zn1 Ge2 Pd1'
_cell_length_a 4.236
_cell_length_b 4.236
_cell_length_c 6.150
_cell_angle_alpha 110.15
_cell_angle_beta 110.15
_cell_angle_gamma 90.00
_space_group_name_H-M_alt 'P 1'
_space_group_IT_number 1
loop_
_space_group_symop_operation_xyz
'x,y,z'
loop_
_atom_site_label
_atom_site_type_symbol
_atom_site_fract_x
_atom_site_fract_y
_atom_site_fract_z
Ge1 Ge 0.383 0.383 0.765
Ge2 Ge 0.617 0.617 0.235
Pd1 Pd 0.750 0.250 0.500
Zn1 Zn 0.250 0.750 0.500
Pr1 Pr 0.000 0.000 0.000
```

***

(11)
Here is crystalline GePd6Pt3 at its relaxed geometry from Alexandria. Energies are from PBE.

Calculated values
DFT total energy = -5.56 eV per atom
Calculated formation energy = -0.167 eV/atom

Geometry as CIF:
```
data_GePd6Pt3
_chemical_formula_sum 'Ge2 Pd12 Pt6'
_cell_length_a 3.949
_cell_length_b 8.802
_cell_length_c 8.889
_cell_angle_alpha 93.53
_cell_angle_beta 90.00
_cell_angle_gamma 90.00
_space_group_name_H-M_alt 'P 1'
_space_group_IT_number 1
loop_
_space_group_symop_operation_xyz
'x,y,z'
loop_
_atom_site_label
_atom_site_type_symbol
_atom_site_fract_x
_atom_site_fract_y
_atom_site_fract_z
Pd1 Pd 0.250 0.454 0.096
Pd2 Pd 0.750 0.764 0.511
Pd3 Pd 0.750 0.546 0.904
Pd4 Pd 0.750 0.111 0.664
Pd5 Pd 0.750 0.956 0.108
Pd6 Pd 0.250 0.643 0.705
Pd7 Pd 0.250 0.236 0.489
Pd8 Pd 0.250 0.044 0.892
Pd9 Pd 0.750 0.357 0.295
Pd10 Pd 0.750 0.838 0.816
Pd11 Pd 0.250 0.162 0.184
Pd12 Pd 0.250 0.889 0.336
Pt1 Pt 0.250 0.557 0.400
Pt2 Pt 0.250 0.751 0.019
Pt3 Pt 0.250 0.339 0.790
Pt4 Pt 0.750 0.443 0.600
Pt5 Pt 0.750 0.661 0.210
Pt6 Pt 0.750 0.249 0.981
Ge1 Ge 0.750 0.083 0.369
Ge2 Ge 0.250 0.917 0.631
```

***

(12)
Here is crystalline GePdPt at its relaxed geometry from Alexandria. Energies are from PBE.

Calculated values
DFT total energy = -5.76 eV per atom
Calculated formation energy = -0.474 eV/atom

Geometry as CIF:
```
data_GePdPt
_chemical_formula_sum 'Ge2 Pd2 Pt2'
_cell_length_a 4.152
_cell_length_b 4.152
_cell_length_c 6.558
_cell_angle_alpha 90.00
_cell_angle_beta 90.00
_cell_angle_gamma 120.00
_space_group_name_H-M_alt 'P 1'
_space_group_IT_number 1
loop_
_space_group_symop_operation_xyz
'x,y,z'
loop_
_atom_site_label
_atom_site_type_symbol
_atom_site_fract_x
_atom_site_fract_y
_atom_site_fract_z
Pd1 Pd 0.000 0.000 0.542
Pd2 Pd 0.000 0.000 0.042
Ge1 Ge 0.667 0.333 0.192
Ge2 Ge 0.333 0.667 0.692
Pt1 Pt 0.333 0.667 0.302
Pt2 Pt 0.667 0.333 0.802
```